(1)
This record from Alexandria via LeMat-Bulk describes a geometry-optimized LaPmSb structure. The functional is GGA-PBE.

Results
Total magnetization = 0.00 Bohr magnetons per cell
ΔE to the lowest computed polymorph = 152 meV/atom
E_form (uncorrected) = -724 meV/atom

a = 6.2176 Å, b = 6.2176 Å, c = 8.8677 Å
α = 116.42°, β = 116.42°, γ = 40.15°
Last column: nearest neighbours and their distance in Å.
Fractional positions:
La1 0.1515 0.1515 0.0504  3 La 3.21-3.55, 3 Sb 3.22-3.40
La2 0.8485 0.8485 0.9496  3 La 3.21-3.55, 3 Sb 3.22-3.40
Pm1 0.4282 0.4282 0.6425  5 Sb 3.26-3.35, 1 Pm 3.64
Pm2 0.5718 0.5718 0.3575  5 Sb 3.26-3.35, 1 Pm 3.64
Sb1 0.1588 0.1588 0.6714  3 La 3.22-3.40, 5 Pm 3.26-3.35, 1 Sb 3.51
Sb2 0.8412 0.8412 0.3286  3 La 3.22-3.40, 5 Pm 3.26-3.35, 1 Sb 3.51

---

(2)
This record from Alexandria via LeMat-Bulk describes a geometry-optimized LaPm3Sb2 structure. The functional is GGA-PBE.

Results
Total magnetization = 0.00 Bohr magnetons per cell
ΔE to the lowest computed polymorph = 0 meV/atom
E_form (uncorrected) = -820 meV/atom

a = 4.5823 Å, b = 4.5823 Å, c = 8.8947 Å
α = 90.00°, β = 90.00°, γ = 90.00°
Last column: nearest neighbours and their distance in Å.
Fractional positions:
La1 0.0000 0.0000 0.0000  4 Pm 3.24, 4 Sb 3.40
Pm1 0.0000 0.5000 0.3577  5 Sb 3.20-3.31
Pm2 0.5000 0.0000 0.6423  5 Sb 3.20-3.31
Pm3 0.5000 0.5000 0.0000  4 La 3.24, 4 Sb 3.40
Sb1 0.0000 0.5000 0.7178  7 Pm 3.20-3.40, 2 La 3.40
Sb2 0.5000 0.0000 0.2822  7 Pm 3.20-3.40, 2 La 3.40

---

(3)
This record from Alexandria via LeMat-Bulk describes a geometry-optimized LaPm3Sb structure. The functional is GGA-PBE.

Results
Total magnetization = 0.25 Bohr magnetons per cell
E_form (uncorrected) = -404 meV/atom

a = 11.1055 Å, b = 4.0831 Å, c = 14.8926 Å
α = 90.00°, β = 90.00°, γ = 90.00°
Last column: nearest neighbours and their distance in Å.
Fractional positions:
La1 0.1692 0.2500 0.0066  2 Sb 3.34
La2 0.3308 0.7500 0.5066  2 Sb 3.34
La3 0.6692 0.2500 0.4934  2 Sb 3.34
La4 0.8308 0.7500 0.9934  2 Sb 3.34
Pm1 0.0620 0.2500 0.4170  3 Sb 3.22-3.28, 3 Pm 3.41-3.49
Pm2 0.0747 0.7500 0.2090  2 Sb 3.25-3.54, 4 Pm 3.49-3.62
Pm3 0.1806 0.7500 0.7917  2 Sb 3.22, 3 Pm 3.41-3.49
Pm4 0.3194 0.2500 0.2917  2 Sb 3.22, 3 Pm 3.41-3.49
Pm5 0.4253 0.2500 0.7090  2 Sb 3.25-3.54, 4 Pm 3.49-3.62
Pm6 0.4380 0.7500 0.9170  3 Sb 3.22-3.28, 3 Pm 3.41-3.49
Pm7 0.5620 0.2500 0.0830  3 Sb 3.22-3.28, 3 Pm 3.41-3.49
Pm8 0.5747 0.7500 0.2910  2 Sb 3.25-3.54, 4 Pm 3.49-3.62
Pm9 0.6806 0.7500 0.7083  2 Sb 3.22, 3 Pm 3.41-3.49
Pm10 0.8194 0.2500 0.2083  2 Sb 3.22, 3 Pm 3.41-3.49
Pm11 0.9253 0.2500 0.7910  2 Sb 3.25-3.54, 4 Pm 3.49-3.62
Pm12 0.9380 0.7500 0.5830  3 Sb 3.22-3.28, 3 Pm 3.41-3.49
Sb1 0.1543 0.2500 0.6259  7 Pm 3.22-3.54, 2 La 3.34
Sb2 0.3457 0.7500 0.1259  7 Pm 3.22-3.54, 2 La 3.34
Sb3 0.6543 0.2500 0.8741  7 Pm 3.22-3.54, 2 La 3.34
Sb4 0.8457 0.7500 0.3741  7 Pm 3.22-3.54, 2 La 3.34

---

(4)
This record from Alexandria via LeMat-Bulk describes a geometry-optimized LaPm3Sb2 structure. The functional is GGA-PBE.

Results
Total magnetization = 0.00 Bohr magnetons per cell
ΔE to the lowest computed polymorph = 65 meV/atom
E_form (uncorrected) = -755 meV/atom

a = 9.6831 Å, b = 9.6831 Å, c = 10.0244 Å
α = 114.69°, β = 114.69°, γ = 26.79°
Last column: nearest neighbours and their distance in Å.
Fractional positions:
La1 0.1119 0.1119 0.1234  6 Sb 3.33-3.45
La2 0.8881 0.8881 0.8766  6 Sb 3.33-3.45
Pm1 0.0561 0.0561 0.6752  3 Sb 3.15-3.40, 3 Pm 3.23-3.35
Pm2 0.3116 0.3116 0.1113  3 Sb 3.19-3.28, 4 Pm 3.31-3.35
Pm3 0.3533 0.3533 0.5271  4 Sb 3.24-3.33
Pm4 0.6467 0.6467 0.4729  4 Sb 3.24-3.33
Pm5 0.6884 0.6884 0.8887  3 Sb 3.19-3.28, 4 Pm 3.31-3.35
Pm6 0.9439 0.9439 0.3248  3 Sb 3.15-3.40, 3 Pm 3.23-3.35
Sb1 0.2448 0.2448 0.7162  7 Pm 3.24-3.60, 2 La 3.34
Sb2 0.4897 0.4897 0.1554  4 Pm 3.15-3.29, 1 Sb 3.30, 4 La 3.33-3.45
Sb3 0.5103 0.5103 0.8446  4 Pm 3.15-3.29, 1 Sb 3.30, 4 La 3.33-3.45
Sb4 0.7552 0.7552 0.2838  7 Pm 3.24-3.60, 2 La 3.34

---

(5)
This record from Alexandria via LeMat-Bulk describes a geometry-optimized La5Pm5Sb6 structure. The functional is GGA-PBE.

Results
Total magnetization = 1.55 Bohr magnetons per cell
E_form (uncorrected) = -983 meV/atom

a = 6.5521 Å, b = 9.4418 Å, c = 9.4418 Å
α = 120.25°, β = 90.00°, γ = 90.00°
Last column: nearest neighbours and their distance in Å.
Fractional positions:
La1 0.0000 0.0000 0.0000  5 Sb 3.20-3.51
La2 0.2504 0.0852 0.4171  2 La 3.27-3.28, 6 Sb 3.35-3.38
La3 0.2504 0.4171 0.0852  2 La 3.27-3.28, 6 Sb 3.35-3.38
La4 0.7496 0.0852 0.4171  2 La 3.27-3.28, 6 Sb 3.35-3.38
La5 0.7496 0.4171 0.0852  2 La 3.27-3.28, 6 Sb 3.35-3.38
Pm1 0.0000 0.4985 0.7518  5 Sb 3.15-3.49
Pm2 0.0000 0.7518 0.4985  5 Sb 3.15-3.49
Pm3 0.5000 0.0043 0.7502  5 Sb 3.15-3.50
Pm4 0.5000 0.5029 0.5029  5 Sb 3.17-3.50
Pm5 0.5000 0.7502 0.0043  5 Sb 3.15-3.50
Sb1 0.0000 0.1341 0.7485  4 Pm 3.17-3.50, 5 La 3.20-3.37
Sb2 0.0000 0.3732 0.3732  4 Pm 3.15-3.50, 5 La 3.38-3.51
Sb3 0.0000 0.7485 0.1341  4 Pm 3.17-3.50, 5 La 3.20-3.37
Sb4 0.5000 0.1316 0.1316  3 Pm 3.17-3.49, 6 La 3.36-3.50
Sb5 0.5000 0.3702 0.7513  5 Pm 3.15-3.49, 4 La 3.36-3.38
Sb6 0.5000 0.7513 0.3702  5 Pm 3.15-3.49, 4 La 3.36-3.38

---

(6)
This record from Alexandria via LeMat-Bulk describes a geometry-optimized La3Pm5Sb8 structure. The functional is GGA-PBE.

Results
Total magnetization = 0.00 Bohr magnetons per cell
E_form (uncorrected) = -1219 meV/atom

a = 9.0880 Å, b = 9.0880 Å, c = 9.0880 Å
α = 60.01°, β = 60.01°, γ = 60.01°
Last column: nearest neighbours and their distance in Å.
Fractional positions:
La1 0.0000 0.5000 0.5000  6 Sb 3.24
La2 0.5000 0.0000 0.5000  6 Sb 3.24
La3 0.5000 0.5000 0.0000  6 Sb 3.24
Pm1 0.0000 0.0000 0.0000  6 Sb 3.21
Pm2 0.0000 0.0000 0.5000  6 Sb 3.19
Pm3 0.0000 0.5000 0.0000  6 Sb 3.19
Pm4 0.5000 0.0000 0.0000  6 Sb 3.19
Pm5 0.5000 0.5000 0.5000  6 Sb 3.21
Sb1 0.2458 0.7500 0.7500  4 Pm 3.19-3.21, 2 La 3.24
Sb2 0.2478 0.2478 0.2478  3 Pm 3.19, 3 La 3.24
Sb3 0.2500 0.2500 0.7542  4 Pm 3.19-3.21, 2 La 3.24
Sb4 0.2500 0.7542 0.2500  4 Pm 3.19-3.21, 2 La 3.24
Sb5 0.7500 0.2458 0.7500  4 Pm 3.19-3.21, 2 La 3.24
Sb6 0.7500 0.7500 0.2458  4 Pm 3.19-3.21, 2 La 3.24
Sb7 0.7522 0.7522 0.7522  3 Pm 3.19, 3 La 3.24
Sb8 0.7542 0.2500 0.2500  4 Pm 3.19-3.21, 2 La 3.24

---

(7)
This record from Alexandria via LeMat-Bulk describes a geometry-optimized LaPm4Sb2 structure. The functional is GGA-PBE.

Results
Total magnetization = 0.00 Bohr magnetons per cell
E_form (uncorrected) = 110 meV/atom

a = 9.1509 Å, b = 9.1509 Å, c = 9.1509 Å
α = 145.86°, β = 145.86°, γ = 49.05°
Last column: nearest neighbours and their distance in Å.
Fractional positions:
La1 0.0000 0.0000 0.0000  4 Pm 2.69
Pm1 0.0000 0.5000 0.5000  2 La 2.69
Pm2 0.1820 0.1820 0.0000  1 La 3.03, 1 Sb 3.08
Pm3 0.5000 0.0000 0.5000  2 La 2.69
Pm4 0.8180 0.8180 0.0000  1 La 3.03, 1 Sb 3.08
Sb1 0.3673 0.3673 0.0000  1 Pm 3.08
Sb2 0.6327 0.6327 0.0000  1 Pm 3.08

---

(8)
This record from Alexandria via LeMat-Bulk describes a geometry-optimized LaPmSb structure. The functional is GGA-PBE.

Results
Total magnetization = 0.00 Bohr magnetons per cell
ΔE to the lowest computed polymorph = 367 meV/atom
E_form (uncorrected) = -509 meV/atom

a = 5.1869 Å, b = 5.1869 Å, c = 4.2725 Å
α = 90.00°, β = 90.00°, γ = 120.00°
Last column: nearest neighbours and their distance in Å.
Fractional positions:
La1 0.0000 0.0000 0.0000  3 Sb 3.36, 6 Pm 3.62-3.74
Pm1 0.3333 0.6667 0.5240  3 Sb 3.08
Sb1 0.6667 0.3333 0.3553  3 Pm 3.08, 3 La 3.36